! KBaAs2 meta-GGA SCAN PBEsol geometry; values from VASP
&SYSTEM
  ibrav = 0, nat = 4, ntyp = 3
/
ATOMIC_SPECIES
K 39.10 K.upf
Ba 137.33 Ba.upf
As 74.92 As.upf
CELL_PARAMETERS angstrom
4.6707 0.0000 0.0000
0.0000 2.4498 5.5723
0.0000 -2.4498 5.5723
ATOMIC_POSITIONS crystal
K 0.0000 0.0000 0.0000
Ba 0.5000 0.7243 0.7243
As 0.0000 0.3025 0.3025
As 0.5000 0.4112 0.4112
! **Energy relative to the lowest polymorph listed for this composition**: 0.0 meV/atom
! **Total DFT energy (no corrections)**: -1.6831 Ry/atom
! **Calculated formation energy**: -80 kJ per mole of atoms
! **Fermi-level density of states**: 0.75 states/eV/cell